# 1
DyHo4Zn (PBE, optimized geometry); energy = -4.03 eV/atom
1.0
6.147 -0.652 0.000
-2.491 8.595 0.000
-1.828 -3.971 6.732
Ho Dy Zn
8 2 2
direct
0.235 0.610 0.773
0.238 0.286 0.365
0.628 0.080 0.365
0.038 0.163 0.773
0.762 0.714 0.635
0.962 0.837 0.227
0.372 0.920 0.635
0.765 0.390 0.227
0.345 0.595 0.190
0.655 0.405 0.810
0.250 0.000 0.000
0.750 0.000 0.000


# 2
LaPd2Pt2 (PBE, optimized geometry); energy = -6.08 eV/atom
1.0
3.999 0.000 0.000
0.000 3.999 0.000
2.000 2.000 6.269
Pt La Pd
2 1 2
direct
0.398 0.398 0.205
0.602 0.602 0.795
0.000 0.000 0.000
0.250 0.750 0.500
0.750 0.250 0.500


# 3
Ac2ThPd12Pt3 (PBE, optimized geometry); energy = -5.78 eV/atom
1.0
-1.247 -1.638 6.762
-4.028 -5.698 -1.131
5.049 -4.892 0.737
Pt Pd Ac Th
3 12 2 1
direct
0.500 0.000 0.000
0.000 0.000 0.500
0.000 0.500 0.000
0.710 0.202 0.202
0.290 0.798 0.798
0.798 0.798 0.290
0.593 0.127 0.593
0.202 0.202 0.710
0.407 0.407 0.873
0.873 0.407 0.407
0.798 0.290 0.798
0.202 0.710 0.202
0.593 0.593 0.127
0.127 0.593 0.593
0.407 0.873 0.407
0.709 0.709 0.709
0.291 0.291 0.291
0.000 0.000 0.000


# 4
Ca2GdAl (PBE, optimized geometry); energy = -5.29 eV/atom
1.0
-2.820 2.030 -0.732
-0.865 0.688 -3.374
-8.107 -8.721 -1.567
Ca Gd Al
2 1 1
direct
0.097 0.097 0.708
0.903 0.903 0.292
0.000 0.000 0.000
0.500 0.500 0.500


# 5
CoTe2MoN (PBE, optimized geometry); formation energy (no corrections) = 0.612 eV per atom
1.0
5.233 0.000 0.000
0.000 5.233 0.000
0.000 0.000 3.391
Co Mo Te N
1 1 2 1
direct
0.000 0.000 0.000
0.500 0.500 0.500
0.000 0.500 0.000
0.500 0.000 0.000
0.000 0.000 0.500


# 6
K2SrTa (PBE, optimized geometry); energy = -2.68 eV/atom
1.0
-4.670 -2.279 -0.255
2.148 -4.549 1.325
-0.989 1.334 6.183
K Sr Ta
2 1 1
direct
0.500 0.500 0.000
0.000 0.000 0.000
0.500 0.000 0.500
0.000 0.500 0.500


# 7
Li3Cd2Ag3Hg (PBE, optimized geometry); energy = -2.03 eV/atom
1.0
-2.306 1.572 1.058
-2.072 -6.168 4.647
5.049 5.557 2.749
Ag Li Cd Hg
3 3 2 1
direct
0.000 0.000 0.369
0.000 0.369 0.000
0.000 0.631 0.631
0.500 0.000 0.702
0.500 0.298 0.298
0.500 0.702 0.000
0.500 0.667 0.333
0.500 0.333 0.667
0.000 0.000 0.000


# 8
TeMoHRu2 (PBE, optimized geometry); energy = -4.94 eV/atom
1.0
4.883 0.000 0.000
0.000 5.153 0.000
0.000 0.000 4.883
Mo Ru H Te
1 2 1 1
direct
0.000 0.500 0.000
0.000 0.000 0.500
0.500 0.000 0.000
0.500 0.500 0.500
0.000 0.000 0.000